Density functional theory data (PBE) for crystalline Er6NiAg2 at its relaxed geometry.

Values from the calculation:
space group = No. 71
relative energy among the computed polymorphs = 0.06 eV/f.u.

abc: 8.392 8.392 8.392
angles: 73.03 69.29 110.77
Element x y z (fractional)
Er: 0.172 0.746 0.082
Er: 0.828 0.254 0.918
Er: 0.172 0.254 0.575
Er: 0.828 0.746 0.425
Er: 0.446 0.262 0.816
Er: 0.554 0.738 0.184
Er: 0.078 0.262 0.184
Er: 0.922 0.738 0.816
Er: 0.329 0.055 0.274
Er: 0.671 0.945 0.726
Er: 0.329 0.603 0.726
Er: 0.671 0.397 0.274
Ni: 0.500 0.500 0.000
Ni: 0.000 0.000 0.000
Ag: 0.139 0.639 0.500
Ag: 0.861 0.361 0.500
Ag: 0.352 0.000 0.648
Ag: 0.648 0.000 0.352